Entry from Alexandria via LeMat-Bulk: crystalline Nd4YTe5 at its relaxed geometry (PBE).

Summary:
The total energy is -5.525 eV/atom. The calculation puts the density of states at the Fermi level at 11.6 states/eV/cell.

Cell: 4.4526 4.4526 31.9732 Å, 90.00 90.00 90.00°
With the nearest neighbours (Å) after each atom.
Space group I4/mmm (No. 139)
One atom of each set of equivalent atoms:
Nd (0.0000, 0.0000, 0.1040) [4 per cell]  6 Te 3.16-3.32
Nd (0.0000, 0.0000, 0.3074) [4 per cell]  6 Te 3.12-3.30
Y (0.0000, 0.0000, 0.5000) [2 per cell]  6 Te 3.04-3.15
Te (0.0000, 0.0000, 0.0000) [2 per cell]  4 Y 3.15, 2 Nd 3.32
Te (0.0000, 0.0000, 0.2043) [4 per cell]  6 Nd 3.17-3.30
Te (0.0000, 0.0000, 0.4051) [4 per cell]  1 Y 3.04, 5 Nd 3.12-3.16